[1]
# AcTh3Se6 PBE optimized geometry
data_AcTh3Se6
_chemical_formula_sum 'Ac2 Th6 Se12'
_cell_length_a 11.729
_cell_length_b 4.320
_cell_length_c 11.971
_cell_angle_alpha 90.00
_cell_angle_beta 104.37
_cell_angle_gamma 90.00
_space_group_name_H-M_alt 'P 1 21/m 1'
_space_group_IT_number 11
loop_
_space_group_symop_operation_xyz
'x,y,z'
'-x,-y,-z'
'-x,y+1/2,-z'
'x,-y+1/2,z'
loop_
_atom_site_label
_atom_site_fract_x
_atom_site_fract_y
_atom_site_fract_z
Ac1 0.042 0.250 0.195
Th1 0.166 0.250 0.564
Th2 0.317 0.750 0.990
Th3 0.404 0.250 0.345
Se1 0.072 0.750 0.397
Se2 0.130 0.250 0.959
Se3 0.209 0.750 0.736
Se4 0.252 0.750 0.216
Se5 0.421 0.250 0.598
Se6 0.472 0.250 0.116
# Formation energy (no corrections)   -1.712 eV/atom

***

[2]
# AcTbSb PBE optimized geometry
data_AcTbSb
_chemical_formula_sum 'Ac2 Tb2 Sb2'
_cell_length_a 4.709
_cell_length_b 4.709
_cell_length_c 9.114
_cell_angle_alpha 90.00
_cell_angle_beta 90.00
_cell_angle_gamma 90.00
_space_group_name_H-M_alt 'P 4/n m m'
_space_group_IT_number 129
loop_
_space_group_symop_operation_xyz
'x,y,z'
'-x,-y,-z'
'-y+1/2,x,z'
'y+1/2,-x,-z'
'-x+1/2,-y+1/2,z'
'x+1/2,y+1/2,-z'
'y,-x+1/2,z'
'-y,x+1/2,-z'
'x+1/2,-y,-z'
'-x+1/2,y,z'
'-y,-x,-z'
'y,x,z'
'-x,y+1/2,-z'
'x,-y+1/2,z'
'y+1/2,x+1/2,-z'
'-y+1/2,-x+1/2,z'
loop_
_atom_site_label
_atom_site_fract_x
_atom_site_fract_y
_atom_site_fract_z
Ac1 0.250 0.250 0.148
Tb1 0.250 0.750 0.500
Sb1 0.250 0.250 0.756
# Formation energy (no corrections)   -0.799 eV/atom
# ΔE to the lowest computed polymorph   0.000 eV per atom

***

[3]
# Pm2NdY7 PBE optimized geometry
data_Pm2NdY7
_chemical_formula_sum 'Pm2 Nd1 Y7'
_cell_length_a 6.216
_cell_length_b 7.188
_cell_length_c 8.053
_cell_angle_alpha 76.97
_cell_angle_beta 75.09
_cell_angle_gamma 73.46
_space_group_name_H-M_alt 'P -1'
_space_group_IT_number 2
loop_
_space_group_symop_operation_xyz
'x,y,z'
'-x,-y,-z'
loop_
_atom_site_label
_atom_site_fract_x
_atom_site_fract_y
_atom_site_fract_z
Pm1 0.200 0.299 0.101
Nd1 0.000 0.500 0.500
Y1 0.000 0.000 0.500
Y2 0.199 0.800 0.100
Y3 0.400 0.600 0.700
Y4 0.401 0.099 0.700
# ΔE to the lowest computed polymorph   0.000 eV per atom

***

no.,raw total energy (eV per cell)
1,-128.781
2,-30.513
3,-59.342